No. 1
## TcTe2Se (SCAN)

Data for TcTe2Se at its PBEsol-relaxed geometry.

* magnetization: 0.000 μB/atom
* density of states at the Fermi level: 2.33 states/eV/f.u.
* symmetry: No. 12
* electronic total energy: -32.294 eV/atom

Cell and atoms, written as POSCAR:
```
TcTe2Se
1.0
-1.3753 -2.7837 -0.8606
4.0065 -0.1199 0.0161
-0.2768 -2.1903 7.5273
Tc Se Te
1 1 2
Direct
0.0000 0.0000 0.0000
0.5000 0.0000 0.5000
0.3055 0.6110 0.1940
0.6945 0.3890 0.8060
```

***

No. 2
## TiClO2 (SCAN)

Data for TiClO2 at its PBEsol-relaxed geometry.

* magnetization: 0.092 μB/atom
* density of states at the Fermi level: 0.78 states/eV/f.u.
* symmetry: No. 166
* electronic total energy: -11.274 eV/atom

Cell and atoms, written as POSCAR:
```
TiClO2
1.0
2.9233 0.0000 0.0000
1.4617 2.5317 0.0000
1.4617 0.8439 9.2158
O Ti Cl
2 1 1
Direct
0.8689 0.8689 0.3934
0.1311 0.1311 0.6066
0.5000 0.5000 0.5000
0.0000 0.0000 0.0000
```

***

No. 3
## Ti2NbAs2 (SCAN)

Data for Ti2NbAs2 at its PBEsol-relaxed geometry.

* magnetization: 0.000 μB/atom
* E_form: -0.8365 eV per atom
* density of states at the Fermi level: 2.98 states/eV/f.u.
* symmetry: No. 127
* electronic total energy: -21.951 eV/atom

Cell and atoms, written as POSCAR:
```
Ti2NbAs2
1.0
3.4016 0.0000 0.0000
0.0000 6.8289 0.0000
0.0000 0.0000 6.8289
As Ti Nb
4 4 2
Direct
0.0000 0.6449 0.1449
0.0000 0.8551 0.6449
0.0000 0.3551 0.8551
0.0000 0.1449 0.3551
0.5000 0.3470 0.1530
0.5000 0.8470 0.3470
0.5000 0.6530 0.8470
0.5000 0.1530 0.6530
0.0000 0.0000 0.0000
0.0000 0.5000 0.5000
```